First-principles (PBE) data for crystalline AlTe4Mo at its relaxed geometry, as listed in the Alexandria database.

Structure (POSCAR):
```
AlTe4Mo
1.0
0.000 4.495 4.495
4.495 0.000 4.495
4.495 4.495 0.000
Al Te Mo
1 4 1
direct
0.000 0.000 0.000
0.376 0.376 0.376
0.376 0.376 0.873
0.376 0.873 0.376
0.873 0.376 0.376
0.750 0.750 0.750
```

Calculated values
The density of states at the Fermi level comes out at 3.89 states/eV/f.u. For the spin magnetization, the calculation gives 0.847 μB per atom. The formation energy from raw total energies comes out at 1.03 eV/atom.

---

First-principles (PBE) data for crystalline AlTe2Mo at its relaxed geometry, as listed in the Alexandria database.

Structure (POSCAR):
```
AlTe2Mo
1.0
3.796 0.000 0.000
0.000 4.495 0.000
-1.894 0.000 4.995
Al Te Mo
1 2 1
direct
0.000 0.000 0.000
0.429 0.500 0.857
0.719 0.000 0.439
0.144 0.500 0.290
```

Calculated values
The density of states at the Fermi level comes out at 3.71 states/eV/f.u. For the spin magnetization, the calculation gives 0.000 μB per atom. The formation energy from raw total energies comes out at 0.15 eV/atom.